Record 1
A plane-wave DFT calculation with PBE was carried out for crystalline TaCrHg2Pt at its relaxed geometry.

POSCAR file:
```
TaCrHg2Pt
1.0
5.347 0.000 0.000
0.000 5.347 0.000
0.000 0.000 4.901
Ta Cr Hg Pt
1 1 2 1
Direct
0.000 0.000 0.000 Ta
0.500 0.500 0.500 Cr
0.000 0.500 0.000 Hg
0.500 0.000 0.000 Hg
0.000 0.000 0.500 Pt
```

Output
* total magnetic moment: 4.42 μB per cell
* calculated volume: 140.1 Å³ per cell
* energy of formation: 1.1291 eV/atom

***

Record 2
A plane-wave DFT calculation with PBE was carried out for crystalline TbCeThZn at its relaxed geometry.

POSCAR file:
```
TbCeThZn
1.0
0.000 3.721 3.721
3.721 0.000 3.721
3.721 3.721 0.000
Tb Ce Th Zn
1 1 1 1
Direct
0.000 0.000 0.000 Tb
0.750 0.750 0.750 Ce
0.500 0.500 0.500 Th
0.250 0.250 0.250 Zn
```

Output
* total magnetic moment: 0.23 μB per cell
* calculated volume: 103.0 Å³ per cell
* energy of formation: 0.1107 eV/atom

***

Record 3
A plane-wave DFT calculation with PBE was carried out for crystalline LaSiAs2Ir at its relaxed geometry.

POSCAR file:
```
LaSiAs2Ir
1.0
5.456 0.000 0.000
0.000 5.456 0.000
0.000 0.000 5.361
La Si As Ir
1 1 2 1
Direct
0.000 0.000 0.000 La
0.000 0.000 0.500 Si
0.000 0.500 0.000 As
0.500 0.000 0.000 As
0.500 0.500 0.500 Ir
```

Output
* total magnetic moment: 0.00 μB per cell
* calculated volume: 159.6 Å³ per cell
* formation energy from raw total energies: 1825 meV per atom